An optimized crystal structure of KTa2Al. Source: the Alexandria database, functional PBE.

Cell and atoms, written as CIF:
```
data_KTa2Al
_symmetry_space_group_name_H-M 'C 1 m 1'
_symmetry_Int_Tables_number 8
_cell_length_a 9.3230
_cell_length_b 2.8727
_cell_length_c 7.6261
_cell_angle_alpha 90.00
_cell_angle_beta 93.52
_cell_angle_gamma 90.00
loop_
_symmetry_equiv_pos_as_xyz
'x,y,z'
'x,-y,z'
'x+1/2,y+1/2,z'
'x+1/2,-y+1/2,z'
loop_
_atom_site_label
_atom_site_type_symbol
_atom_site_fract_x
_atom_site_fract_y
_atom_site_fract_z
_atom_site_occupancy
K1 K 0.0000 0.0000 0.0000 1
Ta1 Ta 0.2286 0.0000 0.6487 1
Ta2 Ta 0.4960 0.0000 0.4981 1
Al1 Al 0.2602 0.5000 0.3384 1
```

Output
Total DFT energy (no corrections) = -6.468 eV/atom

=====

An optimized crystal structure of KTaAl2. Source: the Alexandria database, functional PBE.

Cell and atoms, written as CIF:
```
data_KTaAl2
_symmetry_space_group_name_H-M 'I -4 2 d'
_symmetry_Int_Tables_number 122
_symmetry_space_group_name_Hall 'I -4 2bw'
_cell_length_a 5.3969
_cell_length_b 5.3969
_cell_length_c 18.4873
_cell_angle_alpha 90.00
_cell_angle_beta 90.00
_cell_angle_gamma 90.00
loop_
_atom_site_label
_atom_site_type_symbol
_atom_site_fract_x
_atom_site_fract_y
_atom_site_fract_z
_atom_site_occupancy
K1 K 0.0000 0.0000 0.0000 1
Ta1 Ta 0.0000 0.0000 0.5000 1
Al1 Al 0.0026 0.2500 0.6250 1
```

Output
E above lowest polymorph = 0.8553 eV/atom

=====

An optimized crystal structure of K2TaAl. Source: the Alexandria database, functional PBE.

Cell and atoms, written as CIF:
```
data_K2TaAl
_symmetry_space_group_name_H-M 'C 1 2/m 1'
_symmetry_Int_Tables_number 12
_cell_length_a 21.1898
_cell_length_b 3.7113
_cell_length_c 3.8330
_cell_angle_alpha 90.00
_cell_angle_beta 99.89
_cell_angle_gamma 90.00
loop_
_symmetry_equiv_pos_as_xyz
'x,y,z'
'-x,-y,-z'
'-x,y,-z'
'x,-y,z'
'x+1/2,y+1/2,z'
'-x+1/2,-y+1/2,-z'
'-x+1/2,y+1/2,-z'
'x+1/2,-y+1/2,z'
loop_
_atom_site_label
_atom_site_type_symbol
_atom_site_fract_x
_atom_site_fract_y
_atom_site_fract_z
_atom_site_occupancy
K1 K 0.1505 0.0000 0.1411 1
Ta1 Ta 0.0000 0.0000 0.5000 1
Al1 Al 0.0000 0.5000 0.0000 1
```

Output
Total DFT energy (no corrections) = -3.794 eV/atom

=====

An optimized crystal structure of KTa3Al. Source: the Alexandria database, functional PBE.

Cell and atoms, written as CIF:
```
data_KTa3Al
_symmetry_space_group_name_H-M 'P m -3 m'
_symmetry_Int_Tables_number 221
_symmetry_space_group_name_Hall '-P 4 2 3'
_cell_length_a 4.6226
_cell_length_b 4.6226
_cell_length_c 4.6226
_cell_angle_alpha 90.00
_cell_angle_beta 90.00
_cell_angle_gamma 90.00
loop_
_atom_site_label
_atom_site_type_symbol
_atom_site_fract_x
_atom_site_fract_y
_atom_site_fract_z
_atom_site_occupancy
K1 K 0.0000 0.0000 0.0000 1
Ta1 Ta 0.0000 0.0000 0.5000 1
Al1 Al 0.5000 0.5000 0.5000 1
```

Output
E above lowest polymorph = 1.0664 eV/atom

=====

An optimized crystal structure of KTaAl2. Source: the Alexandria database, functional PBE.

Cell and atoms, written as CIF:
```
data_KTaAl2
_symmetry_space_group_name_H-M 'C m m m'
_symmetry_Int_Tables_number 65
_symmetry_space_group_name_Hall '-C 2 2'
_cell_length_a 3.9944
_cell_length_b 4.2079
_cell_length_c 10.0942
_cell_angle_alpha 90.00
_cell_angle_beta 90.00
_cell_angle_gamma 90.00
loop_
_atom_site_label
_atom_site_type_symbol
_atom_site_fract_x
_atom_site_fract_y
_atom_site_fract_z
_atom_site_occupancy
K1 K 0.0000 0.0000 0.0000 1
Ta1 Ta 0.0000 0.0000 0.5000 1
Al1 Al 0.0000 0.5000 0.2934 1
```

Output
E above lowest polymorph = 0.0000 eV/atom

=====

An optimized crystal structure of KTaAl2. Source: the Alexandria database, functional PBE.

Cell and atoms, written as CIF:
```
data_KTaAl2
_symmetry_space_group_name_H-M 'F m -3 m'
_symmetry_Int_Tables_number 225
_symmetry_space_group_name_Hall '-F 4 2 3'
_cell_length_a 6.9525
_cell_length_b 6.9525
_cell_length_c 6.9525
_cell_angle_alpha 90.00
_cell_angle_beta 90.00
_cell_angle_gamma 90.00
loop_
_atom_site_label
_atom_site_type_symbol
_atom_site_fract_x
_atom_site_fract_y
_atom_site_fract_z
_atom_site_occupancy
K1 K 0.0000 0.0000 0.0000 1
Ta1 Ta 0.0000 0.0000 0.5000 1
Al1 Al 0.2500 0.2500 0.2500 1
```

Output
E above lowest polymorph = 0.6399 eV/atom

=====

An optimized crystal structure of KTa2Al. Source: the Alexandria database, functional PBE.

Cell and atoms, written as CIF:
```
data_KTa2Al
_symmetry_space_group_name_H-M 'P 4 m m'
_symmetry_Int_Tables_number 99
_cell_length_a 3.4234
_cell_length_b 3.4234
_cell_length_c 8.5362
_cell_angle_alpha 90.00
_cell_angle_beta 90.00
_cell_angle_gamma 90.00
loop_
_symmetry_equiv_pos_as_xyz
'x,y,z'
'-y,x,z'
'-x,-y,z'
'y,-x,z'
'-x,y,z'
'y,x,z'
'x,-y,z'
'-y,-x,z'
loop_
_atom_site_label
_atom_site_type_symbol
_atom_site_fract_x
_atom_site_fract_y
_atom_site_fract_z
_atom_site_occupancy
K1 K 0.0000 0.0000 0.0000 1
Ta1 Ta 0.0000 0.0000 0.5146 1
Ta2 Ta 0.5000 0.5000 0.3632 1
Al1 Al 0.5000 0.5000 0.6879 1
```

Output
Total DFT energy (no corrections) = -6.644 eV/atom

=====

An optimized crystal structure of KTa2Al. Source: the Alexandria database, functional PBE.

Cell and atoms, written as CIF:
```
data_KTa2Al
_symmetry_space_group_name_H-M 'I -4 2 d'
_symmetry_Int_Tables_number 122
_symmetry_space_group_name_Hall 'I -4 2bw'
_cell_length_a 4.6130
_cell_length_b 4.6130
_cell_length_c 20.1263
_cell_angle_alpha 90.00
_cell_angle_beta 90.00
_cell_angle_gamma 90.00
loop_
_atom_site_label
_atom_site_type_symbol
_atom_site_fract_x
_atom_site_fract_y
_atom_site_fract_z
_atom_site_occupancy
K1 K 0.0000 0.0000 0.0000 1
Ta1 Ta 0.1151 0.2500 0.6250 1
Al1 Al 0.0000 0.0000 0.5000 1
```

Output
Total DFT energy (no corrections) = -5.730 eV/atom

=====

An optimized crystal structure of KTa2Al. Source: the Alexandria database, functional PBE.

Cell and atoms, written as CIF:
```
data_KTa2Al
_symmetry_space_group_name_H-M 'C m m m'
_symmetry_Int_Tables_number 65
_symmetry_space_group_name_Hall '-C 2 2'
_cell_length_a 6.0007
_cell_length_b 10.1259
_cell_length_c 2.7559
_cell_angle_alpha 90.00
_cell_angle_beta 90.00
_cell_angle_gamma 90.00
loop_
_atom_site_label
_atom_site_type_symbol
_atom_site_fract_x
_atom_site_fract_y
_atom_site_fract_z
_atom_site_occupancy
K1 K 0.0000 0.0000 0.0000 1
Ta1 Ta 0.2500 0.2500 0.5000 1
Al1 Al 0.0000 0.5000 0.0000 1
```

Output
Total DFT energy (no corrections) = -5.990 eV/atom

=====

An optimized crystal structure of K2TaAl. Source: the Alexandria database, functional PBE.

Cell and atoms, written as CIF:
```
data_K2TaAl
_symmetry_space_group_name_H-M 'P m m m'
_symmetry_Int_Tables_number 47
_cell_length_a 2.9209
_cell_length_b 5.9638
_cell_length_c 6.1412
_cell_angle_alpha 90.00
_cell_angle_beta 90.00
_cell_angle_gamma 90.00
loop_
_symmetry_equiv_pos_as_xyz
'x,y,z'
'-x,-y,-z'
'-x,-y,z'
'x,y,-z'
'x,-y,-z'
'-x,y,z'
'-x,y,-z'
'x,-y,z'
loop_
_atom_site_label
_atom_site_type_symbol
_atom_site_fract_x
_atom_site_fract_y
_atom_site_fract_z
_atom_site_occupancy
K1 K 0.0000 0.2471 0.0000 1
Ta1 Ta 0.5000 0.5000 0.5000 1
Al1 Al 0.5000 0.0000 0.5000 1
```

Output
Total DFT energy (no corrections) = -3.358 eV/atom

=====

An optimized crystal structure of KTaAl2. Source: the Alexandria database, functional PBE.

Cell and atoms, written as CIF:
```
data_KTaAl2
_symmetry_space_group_name_H-M 'I -4 m 2'
_symmetry_Int_Tables_number 119
_symmetry_space_group_name_Hall 'I -4 -2'
_cell_length_a 4.1547
_cell_length_b 4.1547
_cell_length_c 9.9354
_cell_angle_alpha 90.00
_cell_angle_beta 90.00
_cell_angle_gamma 90.00
loop_
_atom_site_label
_atom_site_type_symbol
_atom_site_fract_x
_atom_site_fract_y
_atom_site_fract_z
_atom_site_occupancy
K1 K 0.0000 0.0000 0.0000 1
Ta1 Ta 0.0000 0.5000 0.7500 1
Al1 Al 0.0000 0.0000 0.5000 1
Al2 Al 0.0000 0.5000 0.2500 1
```

Output
E above lowest polymorph = 0.7789 eV/atom

=====

An optimized crystal structure of K2TaAl. Source: the Alexandria database, functional PBE.

Cell and atoms, written as CIF:
```
data_K2TaAl
_symmetry_space_group_name_H-M 'R -3 m'
_symmetry_Int_Tables_number 166
_symmetry_space_group_name_Hall '-R 3 2"'
_cell_length_a 3.0810
_cell_length_b 3.0810
_cell_length_c 37.8250
_cell_angle_alpha 90.00
_cell_angle_beta 90.00
_cell_angle_gamma 120.00
loop_
_atom_site_label
_atom_site_type_symbol
_atom_site_fract_x
_atom_site_fract_y
_atom_site_fract_z
_atom_site_occupancy
K1 K 0.0000 0.0000 0.2480 1
Ta1 Ta 0.0000 0.0000 0.0000 1
Al1 Al 0.0000 0.0000 0.5000 1
```

Output
Total DFT energy (no corrections) = -3.450 eV/atom

=====

An optimized crystal structure of KTa2Al. Source: the Alexandria database, functional PBE.

Cell and atoms, written as CIF:
```
data_KTa2Al
_symmetry_space_group_name_H-M 'P 1 2/m 1'
_symmetry_Int_Tables_number 10
_cell_length_a 2.8974
_cell_length_b 4.0790
_cell_length_c 8.3500
_cell_angle_alpha 90.00
_cell_angle_beta 90.60
_cell_angle_gamma 90.00
loop_
_symmetry_equiv_pos_as_xyz
'x,y,z'
'-x,-y,-z'
'-x,y,-z'
'x,-y,z'
loop_
_atom_site_label
_atom_site_type_symbol
_atom_site_fract_x
_atom_site_fract_y
_atom_site_fract_z
_atom_site_occupancy
K1 K 0.0000 0.0000 0.0000 1
Ta1 Ta 0.4969 0.5000 0.6551 1
Al1 Al 0.0000 0.0000 0.5000 1
```

Output
Total DFT energy (no corrections) = -6.431 eV/atom

=====

An optimized crystal structure of KTa2Al. Source: the Alexandria database, functional PBE.

Cell and atoms, written as CIF:
```
data_KTa2Al
_symmetry_space_group_name_H-M 'R 3 m'
_symmetry_Int_Tables_number 160
_symmetry_space_group_name_Hall 'R 3 -2"'
_cell_length_a 2.9669
_cell_length_b 2.9669
_cell_length_c 33.3763
_cell_angle_alpha 90.00
_cell_angle_beta 90.00
_cell_angle_gamma 120.00
loop_
_atom_site_label
_atom_site_type_symbol
_atom_site_fract_x
_atom_site_fract_y
_atom_site_fract_z
_atom_site_occupancy
K1 K 0.0000 0.0000 0.0000 1
Ta1 Ta 0.0000 0.0000 0.5063 1
Ta2 Ta 0.0000 0.0000 0.7639 1
Al1 Al 0.0000 0.0000 0.2419 1
```

Output
Total DFT energy (no corrections) = -6.584 eV/atom

=====

An optimized crystal structure of KTa3Al. Source: the Alexandria database, functional PBE.

Cell and atoms, written as CIF:
```
data_KTa3Al
_symmetry_space_group_name_H-M 'P m -3 m'
_symmetry_Int_Tables_number 221
_symmetry_space_group_name_Hall '-P 4 2 3'
_cell_length_a 4.9379
_cell_length_b 4.9379
_cell_length_c 4.9379
_cell_angle_alpha 90.00
_cell_angle_beta 90.00
_cell_angle_gamma 90.00
loop_
_atom_site_label
_atom_site_type_symbol
_atom_site_fract_x
_atom_site_fract_y
_atom_site_fract_z
_atom_site_occupancy
K1 K 0.0000 0.0000 0.0000 1
Ta1 Ta 0.0000 0.5000 0.5000 1
Al1 Al 0.5000 0.5000 0.5000 1
```

Output
E above lowest polymorph = 0.0000 eV/atom

=====

An optimized crystal structure of KTa2Al. Source: the Alexandria database, functional PBE.

Cell and atoms, written as CIF:
```
data_KTa2Al
_symmetry_space_group_name_H-M 'C m m 2'
_symmetry_Int_Tables_number 35
_cell_length_a 3.5747
_cell_length_b 4.5324
_cell_length_c 10.7106
_cell_angle_alpha 90.00
_cell_angle_beta 90.00
_cell_angle_gamma 90.00
loop_
_symmetry_equiv_pos_as_xyz
'x,y,z'
'-x,-y,z'
'-x,y,z'
'x,-y,z'
'x+1/2,y+1/2,z'
'-x+1/2,-y+1/2,z'
'-x+1/2,y+1/2,z'
'x+1/2,-y+1/2,z'
loop_
_atom_site_label
_atom_site_type_symbol
_atom_site_fract_x
_atom_site_fract_y
_atom_site_fract_z
_atom_site_occupancy
K1 K 0.0000 0.0000 0.0000 1
Ta1 Ta 0.0000 0.0000 0.4781 1
Ta2 Ta 0.0000 0.5000 0.6844 1
Al1 Al 0.0000 0.5000 0.2718 1
```

Output
Total DFT energy (no corrections) = -6.701 eV/atom

=====

An optimized crystal structure of K2TaAl. Source: the Alexandria database, functional PBE.

Cell and atoms, written as CIF:
```
data_K2TaAl
_symmetry_space_group_name_H-M 'C m m m'
_symmetry_Int_Tables_number 65
_symmetry_space_group_name_Hall '-C 2 2'
_cell_length_a 5.9642
_cell_length_b 12.2941
_cell_length_c 2.9544
_cell_angle_alpha 90.00
_cell_angle_beta 90.00
_cell_angle_gamma 90.00
loop_
_atom_site_label
_atom_site_type_symbol
_atom_site_fract_x
_atom_site_fract_y
_atom_site_fract_z
_atom_site_occupancy
K1 K 0.2500 0.2500 0.0000 1
Ta1 Ta 0.0000 0.0000 0.5000 1
Al1 Al 0.0000 0.5000 0.5000 1
```

Output
Total DFT energy (no corrections) = -3.352 eV/atom

=====

An optimized crystal structure of K2TaAl. Source: the Alexandria database, functional PBE.

Cell and atoms, written as CIF:
```
data_K2TaAl
_symmetry_space_group_name_H-M 'R 3 m'
_symmetry_Int_Tables_number 160
_symmetry_space_group_name_Hall 'R 3 -2"'
_cell_length_a 3.1886
_cell_length_b 3.1886
_cell_length_c 37.7117
_cell_angle_alpha 90.00
_cell_angle_beta 90.00
_cell_angle_gamma 120.00
loop_
_atom_site_label
_atom_site_type_symbol
_atom_site_fract_x
_atom_site_fract_y
_atom_site_fract_z
_atom_site_occupancy
K1 K 0.0000 0.0000 0.0000 1
K2 K 0.0000 0.0000 0.2238 1
Ta1 Ta 0.0000 0.0000 0.7519 1
Al1 Al 0.0000 0.0000 0.4768 1
```

Output
Total DFT energy (no corrections) = -3.659 eV/atom

=====

An optimized crystal structure of KTaAl2. Source: the Alexandria database, functional PBE.

Cell and atoms, written as CIF:
```
data_KTaAl2
_symmetry_space_group_name_H-M 'F -4 3 m'
_symmetry_Int_Tables_number 216
_symmetry_space_group_name_Hall 'F -4 2 3'
_cell_length_a 6.9485
_cell_length_b 6.9485
_cell_length_c 6.9485
_cell_angle_alpha 90.00
_cell_angle_beta 90.00
_cell_angle_gamma 90.00
loop_
_atom_site_label
_atom_site_type_symbol
_atom_site_fract_x
_atom_site_fract_y
_atom_site_fract_z
_atom_site_occupancy
K1 K 0.0000 0.0000 0.0000 1
Ta1 Ta 0.2500 0.2500 0.2500 1
Al1 Al 0.0000 0.0000 0.5000 1
Al2 Al 0.2500 0.2500 0.7500 1
```

Output
E above lowest polymorph = 0.8978 eV/atom

=====

An optimized crystal structure of KTa2Al. Source: the Alexandria database, functional PBE.

Cell and atoms, written as CIF:
```
data_KTa2Al
_symmetry_space_group_name_H-M 'C 1 2/m 1'
_symmetry_Int_Tables_number 12
_cell_length_a 12.5215
_cell_length_b 2.7308
_cell_length_c 5.5048
_cell_angle_alpha 90.00
_cell_angle_beta 111.90
_cell_angle_gamma 90.00
loop_
_symmetry_equiv_pos_as_xyz
'x,y,z'
'-x,-y,-z'
'-x,y,-z'
'x,-y,z'
'x+1/2,y+1/2,z'
'-x+1/2,-y+1/2,-z'
'-x+1/2,y+1/2,-z'
'x+1/2,-y+1/2,z'
loop_
_atom_site_label
_atom_site_type_symbol
_atom_site_fract_x
_atom_site_fract_y
_atom_site_fract_z
_atom_site_occupancy
K1 K 0.0000 0.0000 0.0000 1
Ta1 Ta 0.2139 0.0000 0.7148 1
Al1 Al 0.0000 0.5000 0.5000 1
```

Output
Total DFT energy (no corrections) = -6.421 eV/atom

=====

Across the entries above, spin magnetization takes the values 0.00, 7.94, 2.06, 0.00, 0.00, 0.00, 0.00, 0.00, 1.90, 0.14, 0.00, 0.84, 0.00, 0.00, 0.00, 0.00, 2.93, 1.57, 8.21, 0.00 Bohr magnetons per cell, respectively.
Across the entries above, density of states at the Fermi level takes the values 3.6, 2.2, 2.2, 5.9, 4.0, 2.3, 2.7, 4.5, 4.3, 4.4, 2.5, 3.6, 4.0, 6.7, 6.5, 3.5, 3.2, 3.6, 2.6, 3.3 states/eV/f.u., respectively.